1.
A plane-wave DFT calculation with GGA-PBE was carried out for a relaxed SrCuP crystal.

a b c (Å): 4.109 5.977 6.442
angles (deg): 86.24 106.69 68.39
Element x y z (fractional)
Cu  0.379  0.955  0.485
P  0.731  0.617  0.812
Sr  0.980  0.549  0.313
P  0.744  0.129  0.398
Sr  0.494  0.197  0.897
Cu  0.097  0.791  0.724

Output
Fermi-level density of states = 0.865 states/eV per cell
Space group = P-1
Final energy = -4.389 eV per atom

---

2.
A plane-wave DFT calculation with GGA-PBE was carried out for a relaxed TiB2HI crystal.

a b c (Å): 3.956 3.954 3.956
angles (deg): 90.00 90.00 90.00
Element x y z (fractional)
H  0.000  0.000  0.000
B  0.500  0.000  0.000
Ti  0.500  0.500  0.500
B  0.000  0.000  0.500
I  0.000  0.500  0.000

Output
Fermi-level density of states = 3.557 states/eV per cell
Space group = P4/mmm
Final energy = -3.663 eV per atom

---

3.
A plane-wave DFT calculation with GGA-PBE was carried out for a relaxed Zr2ZnCu6 crystal.

a b c (Å): 5.387 5.348 5.348
angles (deg): 120.00 90.00 90.00
Element x y z (fractional)
Cu  0.165  0.181  0.361
Cu  0.165  0.181  0.819
Cu  0.165  0.639  0.819
Cu  0.835  0.361  0.181
Cu  0.835  0.819  0.181
Zr  0.652  0.333  0.667
Cu  0.835  0.819  0.639
Zr  0.348  0.667  0.333
Zn  0.500  0.000  0.000

Output
Fermi-level density of states = 8.178 states/eV per cell
Space group = P-3m1
Final energy = -4.858 eV per atom

---

4.
A plane-wave DFT calculation with GGA-PBE was carried out for a relaxed HgPd crystal.

a b c (Å): 5.429 5.429 5.530
angles (deg): 90.00 90.00 90.00
Element x y z (fractional)
Pd  0.306  0.694  0.000
Hg  0.699  0.301  0.500
Pd  0.694  0.306  0.000
Hg  0.301  0.699  0.500
Hg  0.199  0.199  0.000
Pd  0.806  0.806  0.500
Pd  0.194  0.194  0.500
Hg  0.801  0.801  0.000

Output
Fermi-level density of states = 2.668 states/eV per cell
Space group = P4_2/mnm
Final energy = -2.732 eV per atom

---

5.
A plane-wave DFT calculation with GGA-PBE was carried out for a relaxed Pr4TlGeN crystal.

a b c (Å): 6.944 6.957 8.893
angles (deg): 90.00 112.98 90.00
Element x y z (fractional)
Ge  0.886  0.750  0.772
Pr  0.586  0.250  0.172
Pr  0.414  0.750  0.828
N  0.259  0.750  0.518
Ge  0.114  0.250  0.228
Pr  0.500  0.000  0.500
N  0.741  0.250  0.482
Pr  0.075  0.750  0.150
Tl  0.610  0.750  0.219
Pr  0.500  0.500  0.500
Pr  0.000  0.000  0.500
Tl  0.390  0.250  0.781
Pr  0.925  0.250  0.850
Pr  0.000  0.500  0.500

Output
Uncorrected formation energy = -0.695 eV/atom
Fermi-level density of states = 5.860 states/eV per cell
Space group = Cmcm

---

6.
A plane-wave DFT calculation with GGA-PBE was carried out for a relaxed Na4U3PtSe8 crystal.

a b c (Å): 7.878 8.524 8.236
angles (deg): 118.25 118.57 90.00
Last column: magnetic moment on the atom in μB.
Element x y z (fractional)
Pt  0.000  0.500  0.000  0.09
Se  0.235  0.289  0.020  -0.03
Se  0.261  0.265  0.523  -0.06
Se  0.785  0.289  0.020  -0.03
U  0.000  0.500  0.500  2.46
Na  0.000  0.000  0.500  0.00
Se  0.765  0.711  0.980  -0.03
Se  0.273  0.758  0.546  -0.06
Se  0.727  0.242  0.454  -0.06
Se  0.739  0.735  0.477  -0.06
Na  0.500  0.000  0.500  0.00
Na  0.000  0.000  0.000  0.00
U  0.500  0.500  0.000  2.47
Na  0.500  0.000  0.000  0.00
U  0.500  0.500  0.500  2.46
Se  0.215  0.711  0.980  -0.03

Output
Uncorrected formation energy = -1.025 eV/atom
Fermi-level density of states = 14.409 states/eV per cell
Space group = C2/m

---

Question: What is the formula in the second record?
Answer: TiB2HI

---

Repeat the third record exactly.
A plane-wave DFT calculation with GGA-PBE was carried out for a relaxed Zr2ZnCu6 crystal.

a b c (Å): 5.387 5.348 5.348
angles (deg): 120.00 90.00 90.00
Element x y z (fractional)
Cu  0.165  0.181  0.361
Cu  0.165  0.181  0.819
Cu  0.165  0.639  0.819
Cu  0.835  0.361  0.181
Cu  0.835  0.819  0.181
Zr  0.652  0.333  0.667
Cu  0.835  0.819  0.639
Zr  0.348  0.667  0.333
Zn  0.500  0.000  0.000

Output
Fermi-level density of states = 8.178 states/eV per cell
Space group = P-3m1
Final energy = -4.858 eV per atom

---

Question: What is the Fermi-level density of states in the third record?
Answer: 8.178 states/eV per cell